(1)
First-principles (PBE-GGA) data for a relaxed LaSi2Pt crystal, as listed in the Alexandria database.

abc: 4.3410 4.3410 8.9287
angles: 90.00 90.00 90.00
Closest atoms and distances in Å follow each position.
Space group P4/nmm (No. 129, origin choice 2)
Inequivalent atoms, fractional coordinates:
1 La 0.2500 0.2500 0.2178 x2  1 Si 2.85
2 Si 0.2500 0.2500 0.8982 x2  1 Pt 2.37
3 Si 0.2500 0.7500 0.5000 x2  4 Pt 2.48
4 Pt 0.2500 0.2500 0.6333 x2  5 Si 2.37-2.48

The uncorrected formation energy comes out at -0.784 eV/atom.

***

(2)
First-principles (PBE-GGA) data for a relaxed La3Pm2Dy4 crystal, as listed in the Alexandria database.

abc: 16.5980 11.9167 6.2113
angles: 90.00 97.71 90.00
Closest atoms and distances in Å follow each position.
Space group C2/c (No. 15)
Inequivalent atoms, fractional coordinates:
1 La 0.0000 0.1254 0.2500 x4  6 Pm 3.56-3.65, 4 Dy 3.58-3.73
2 La 0.1638 0.3642 0.0889 x8  2 Pm 3.38-3.68, 8 Dy 3.46-3.66
3 Pm 0.1132 0.1291 0.7958 x8  5 La 3.38-3.68, 4 Dy 3.47-3.77, 1 Pm 3.72
4 Dy 0.0559 0.3805 0.5364 x8  4 Dy 3.40-3.79, 1 Pm 3.47, 5 La 3.51-3.66
5 Dy 0.2267 0.1204 0.3632 x8  5 La 3.46-3.73, 3 Pm 3.48-3.77, 2 Dy 3.56-3.58

The calculation puts the energy of formation at 0.096 eV per atom. The value obtained for the energy above the most stable polymorph in this dataset is 0.0706 eV per atom.

***

(3)
First-principles (PBE-GGA) data for a relaxed Ti8Co2Os crystal, as listed in the Alexandria database.

abc: 6.9850 11.7119 4.5609
angles: 90.00 110.22 90.00
Closest atoms and distances in Å follow each position.
Space group C2/m (No. 12)
Inequivalent atoms, fractional coordinates:
1 Ti 0.0000 0.2224 0.0000 x4  2 Co 2.46, 1 Os 2.60
2 Ti 0.1189 0.5000 0.8193 x4  1 Os 2.50, 1 Ti 2.71, 2 Co 2.72
3 Ti 0.2073 0.1179 0.5835 x8  2 Co 2.40-2.54
4 Co 0.0000 0.3012 0.5000 x4  6 Ti 2.40-2.54
5 Os 0.0000 0.0000 0.0000 x2  4 Ti 2.50-2.60

The calculation puts the energy of formation at -0.144 eV per atom.

***

(4)
First-principles (PBE-GGA) data for a relaxed Ce6Si4S17 crystal, as listed in the Alexandria database.

abc: 8.9830 10.0401 14.4057
angles: 82.22 86.75 89.22
Closest atoms and distances in Å follow each position.
Space group P-1 (No. 2)
Inequivalent atoms, fractional coordinates:
1 Ce 0.0186 0.2711 0.4582 x2  7 S 2.77-3.08
2 Ce 0.0826 0.5814 0.1658 x2  7 S 2.89-3.17
3 Ce 0.1062 0.8830 0.8161 x2  8 S 2.89-3.17
4 Ce 0.3272 0.9130 0.3417 x2  8 S 2.91-3.23
5 Ce 0.3676 0.5667 0.6765 x2  7 S 2.84-3.05
6 Ce 0.4496 0.2380 0.0010 x2  7 S 2.89-3.06
7 Si 0.2299 0.9385 0.0991 x2  4 S 2.10-2.14
8 Si 0.2487 0.9973 0.5843 x2  4 S 2.11-2.16
9 Si 0.2509 0.5593 0.9230 x2  4 S 2.12-2.15
10 Si 0.2742 0.5595 0.3931 x2  4 S 2.11-2.15
11 S 0.0073 0.8732 0.1154 x2  1 Si 2.10
12 S 0.0134 0.9896 0.6240 x2  1 Si 2.16
13 S 0.0397 0.6478 0.9509 x2  1 Si 2.12
14 S 0.0695 0.6431 0.7216 x2  4 Ce 2.77-2.95
15 S 0.1035 0.7012 0.3464 x2  1 Si 2.15
16 S 0.1862 0.4820 0.5314 x2  1 Si 2.15
17 S 0.2467 0.1147 0.1670 x2  1 Si 2.14
18 S 0.2577 0.3848 0.8512 x2  1 Si 2.15
19 S 0.2957 0.8058 0.5398 x2  1 Si 2.14
20 S 0.2981 0.4100 0.3036 x2  1 Si 2.11
21 S 0.3055 0.1329 0.4631 x2  1 Si 2.11
22 S 0.3205 0.9808 0.9574 x2  1 Si 2.14
23 S 0.3399 0.5020 0.0564 x2  1 Si 2.13
24 S 0.3570 0.0249 0.7064 x2  1 Si 2.11
25 S 0.3657 0.7829 0.1670 x2  1 Si 2.13
26 S 0.3843 0.7108 0.8389 x2  1 Si 2.15
27 S 0.4827 0.6556 0.3920 x2  1 Si 2.12

The uncorrected formation energy comes out at -1.412 eV/atom.

***

(5)
First-principles (PBE-GGA) data for a relaxed Ca2PtF crystal, as listed in the Alexandria database.

abc: 6.9169 6.9169 6.9169
angles: 90.00 90.00 90.00
Closest atoms and distances in Å follow each position.
Space group Fm-3m (No. 225)
Inequivalent atoms, fractional coordinates:
1 Ca 0.2500 0.2500 0.2500 x8  4 F 3.00, 4 Pt 3.00
2 Pt 0.0000 0.0000 0.0000 x4  8 Ca 3.00
3 F 0.0000 0.0000 0.5000 x4  8 Ca 3.00

The uncorrected formation energy comes out at -1.490 eV/atom. The value obtained for the energy above the most stable polymorph in this dataset is 0.2625 eV per atom.

***

(6)
First-principles (PBE-GGA) data for a relaxed HoPuPt crystal, as listed in the Alexandria database.

abc: 4.7039 4.7039 3.7800
angles: 90.00 90.00 120.00
Closest atoms and distances in Å follow each position.
Space group P3m1 (No. 156)
Inequivalent atoms, fractional coordinates:
1 Ho 0.0000 0.0000 0.0000 x1  3 Pt 2.91, 3 Pu 3.18
2 Pu 0.3333 0.6667 0.4394 x1  3 Pt 2.92, 3 Ho 3.18
3 Pt 0.6667 0.3333 0.7228 x1  3 Ho 2.91, 3 Pu 2.92

The calculation puts the energy of formation at -0.461 eV per atom. The value obtained for the energy above the most stable polymorph in this dataset is 0.1406 eV per atom.